[1]
Entry from Alexandria via LeMat-Bulk: a relaxed structure of BaNpPdSe3 (GGA-PBE).

Computed properties:
density of states at the Fermi level: 1.89 states/eV/atom
E_tot: -6.344 eV per atom
space-group type: P2_1/m (11)
uncorrected formation energy: -1.259 eV/atom
spin magnetization: 0.5582 μB per atom

Lattice parameters (Å, degrees): 4.2264 8.7316 9.4178 106.39 90.00 90.00
Element x y z (fractional)
1 Se 0.7500 0.4491 0.1576
2 Pd 0.2500 0.0949 0.5832
3 Se 0.7500 0.2351 0.5306
4 Se 0.7500 0.8911 0.1300
5 Np 0.7500 0.3193 0.8376
6 Ba 0.2500 0.1966 0.2489
7 Np 0.2500 0.6807 0.1624
8 Se 0.2500 0.5509 0.8424
9 Se 0.2500 0.7649 0.4694
10 Ba 0.7500 0.8034 0.7511
11 Se 0.2500 0.1089 0.8700
12 Pd 0.7500 0.9051 0.4168

[2]
Entry from Alexandria via LeMat-Bulk: a relaxed structure of Ba2NpPdSe5 (GGA-PBE).

Computed properties:
density of states at the Fermi level: 1.27 states/eV/atom
E_tot: -5.690 eV per atom
space-group type: Cmc2_1 (36)
uncorrected formation energy: -1.312 eV/atom
spin magnetization: 0.2629 μB per atom

Lattice parameters (Å, degrees): 4.2578 9.5887 13.3233 90.00 90.00 102.83
Element x y z (fractional)
1 Se 0.6998 0.3995 0.8789
2 Se 0.9556 0.9111 0.5206
3 Ba 0.1161 0.2322 0.3373
4 Ba 0.8839 0.7678 0.8373
5 Se 0.6950 0.3900 0.1620
6 Se 0.5008 0.0016 0.7608
7 Se 0.6591 0.3182 0.5174
8 Se 0.3409 0.6818 0.0174
9 Np 0.1932 0.3863 0.0205
10 Se 0.3050 0.6100 0.6620
11 Se 0.0444 0.0889 0.0206
12 Pd 0.5647 0.1294 0.9274
13 Pd 0.4353 0.8706 0.4274
14 Se 0.4992 0.9984 0.2608
15 Se 0.3002 0.6005 0.3789
16 Np 0.8068 0.6137 0.5205
17 Ba 0.1233 0.2466 0.6990
18 Ba 0.8767 0.7534 0.1990

[3]
Entry from Alexandria via LeMat-Bulk: a relaxed structure of BaNp4Pd3Se12 (GGA-PBE).

Computed properties:
density of states at the Fermi level: 2.05 states/eV/atom
E_tot: -6.377 eV per atom
space-group type: Im-3 (204)
uncorrected formation energy: -0.823 eV/atom
spin magnetization: 0.6005 μB per atom

Lattice parameters (Å, degrees): 8.8851 8.8851 8.8851 109.47 109.47 109.47
Element x y z (fractional)
1 Np 0.5000 0.5000 0.5000
2 Se 0.4745 0.3144 0.1601
3 Pd 0.5000 0.5000 0.0000
4 Ba 0.0000 0.0000 0.0000
5 Se 0.1601 0.8457 0.6856
6 Se 0.6856 0.1601 0.8457
7 Se 0.6856 0.8399 0.5255
8 Se 0.8399 0.5255 0.6856
9 Se 0.3144 0.1601 0.4745
10 Pd 0.0000 0.5000 0.5000
11 Np 0.5000 0.0000 0.0000
12 Se 0.8457 0.6856 0.1601
13 Se 0.5255 0.6856 0.8399
14 Pd 0.5000 0.0000 0.5000
15 Np 0.0000 0.0000 0.5000
16 Se 0.8399 0.1543 0.3144
17 Se 0.1601 0.4745 0.3144
18 Np 0.0000 0.5000 0.0000
19 Se 0.3144 0.8399 0.1543
20 Se 0.1543 0.3144 0.8399